one | # PBE MnIrRh, relaxed
# - Space group: Pmma, No. 51
# - Total magnetic moment: 6.497 μB per cell
data_MnIrRh
_chemical_formula_sum 'Mn2 Ir2 Rh2'
_space_group_name_H-M_alt 'P 1'
_space_group_IT_number 1
_cell_length_a 5.4266
_cell_length_b 4.4122
_cell_length_c 4.3273
_cell_angle_alpha 90.00
_cell_angle_beta 90.00
_cell_angle_gamma 90.00
loop_
_space_group_symop_operation_xyz
'x,y,z'
loop_
_atom_site_label
_atom_site_fract_x
_atom_site_fract_y
_atom_site_fract_z
Mn1 0.2500 0.0000 0.0010
Mn2 0.7500 0.0000 0.9990
Ir1 0.0000 0.0000 0.5000
Ir2 0.5000 0.0000 0.5000
Rh1 0.2500 0.5000 0.4069
Rh2 0.7500 0.5000 0.5931



two | # PBE MnIrRh, relaxed
# - Space group: Fmm2, No. 42
# - Total magnetic moment: 3.770 μB per cell
data_MnIrRh
_chemical_formula_sum 'Mn1 Ir1 Rh1'
_space_group_name_H-M_alt 'P 1'
_space_group_IT_number 1
_cell_length_a 6.9859
_cell_length_b 6.7409
_cell_length_c 2.7076
_cell_angle_alpha 83.76
_cell_angle_beta 73.58
_cell_angle_gamma 22.66
loop_
_space_group_symop_operation_xyz
'x,y,z'
loop_
_atom_site_label
_atom_site_fract_x
_atom_site_fract_y
_atom_site_fract_z
Mn1 0.0000 0.0000 0.0000
Ir1 0.3409 0.3409 0.6591
Rh1 0.6589 0.6589 0.3411



three | # PBE MnIrRh, relaxed
# - Space group: I4mm, No. 107
# - Total magnetic moment: 1.045 μB per cell
data_MnIrRh
_chemical_formula_sum 'Mn1 Ir1 Rh1'
_space_group_name_H-M_alt 'P 1'
_space_group_IT_number 1
_cell_length_a 5.8840
_cell_length_b 5.8840
_cell_length_c 5.8840
_cell_angle_alpha 153.66
_cell_angle_beta 153.66
_cell_angle_gamma 37.59
loop_
_space_group_symop_operation_xyz
'x,y,z'
loop_
_atom_site_label
_atom_site_fract_x
_atom_site_fract_y
_atom_site_fract_z
Mn1 0.0000 0.0000 0.0000
Ir1 0.6558 0.6558 0.0000
Rh1 0.3388 0.3388 0.0000



Most stable of them? three.



one | # PBE Mn2IrRh2, relaxed
# - Space group: P4/mbm, No. 127
# - Total magnetic moment: 0.002 μB per cell
data_Mn2IrRh2
_chemical_formula_sum 'Mn4 Ir2 Rh4'
_space_group_name_H-M_alt 'P 1'
_space_group_IT_number 1
_cell_length_a 7.0860
_cell_length_b 7.0860
_cell_length_c 2.6572
_cell_angle_alpha 90.00
_cell_angle_beta 90.00
_cell_angle_gamma 90.00
loop_
_space_group_symop_operation_xyz
'x,y,z'
loop_
_atom_site_label
_atom_site_fract_x
_atom_site_fract_y
_atom_site_fract_z
Mn1 0.1703 0.3297 0.0000
Mn2 0.3297 0.8297 0.0000
Mn3 0.6703 0.1703 0.0000
Mn4 0.8297 0.6703 0.0000
Ir1 0.0000 0.0000 0.5000
Ir2 0.5000 0.5000 0.5000
Rh1 0.1281 0.6281 0.5000
Rh2 0.3719 0.1281 0.5000
Rh3 0.6281 0.8719 0.5000
Rh4 0.8719 0.3719 0.5000



two | # PBE Mn2IrRh2, relaxed
# - Space group: P4/mbm, No. 127
# - Total magnetic moment: 0.000 μB per cell
data_Mn2IrRh2
_chemical_formula_sum 'Mn4 Ir2 Rh4'
_space_group_name_H-M_alt 'P 1'
_space_group_IT_number 1
_cell_length_a 6.9609
_cell_length_b 6.9609
_cell_length_c 2.7200
_cell_angle_alpha 90.00
_cell_angle_beta 90.00
_cell_angle_gamma 90.00
loop_
_space_group_symop_operation_xyz
'x,y,z'
loop_
_atom_site_label
_atom_site_fract_x
_atom_site_fract_y
_atom_site_fract_z
Mn1 0.1162 0.3838 0.0000
Mn2 0.3838 0.8838 0.0000
Mn3 0.6162 0.1162 0.0000
Mn4 0.8838 0.6162 0.0000
Ir1 0.0000 0.0000 0.0000
Ir2 0.5000 0.5000 0.0000
Rh1 0.1772 0.6772 0.5000
Rh2 0.3228 0.1772 0.5000
Rh3 0.6772 0.8228 0.5000
Rh4 0.8228 0.3228 0.5000



Most stable of them? two.



one | # PBE MnIr3Ru, relaxed
# - Space group: C2/m, No. 12
# - Total magnetic moment: 3.733 μB per cell
data_MnIr3Ru
_chemical_formula_sum 'Mn2 Ir6 Ru2'
_space_group_name_H-M_alt 'P 1'
_space_group_IT_number 1
_cell_length_a 7.1309
_cell_length_b 7.1309
_cell_length_c 5.4048
_cell_angle_alpha 100.23
_cell_angle_beta 100.23
_cell_angle_gamma 31.12
loop_
_space_group_symop_operation_xyz
'x,y,z'
loop_
_atom_site_label
_atom_site_fract_x
_atom_site_fract_y
_atom_site_fract_z
Mn1 0.1978 0.1978 0.3416
Mn2 0.8022 0.8022 0.6584
Ir1 0.0013 0.0013 0.2480
Ir2 0.2022 0.2022 0.8447
Ir3 0.3950 0.3950 0.4548
Ir4 0.6050 0.6050 0.5452
Ir5 0.7978 0.7978 0.1553
Ir6 0.9987 0.9987 0.7520
Ru1 0.3983 0.3983 0.9477
Ru2 0.6017 0.6017 0.0523



two | # PBE MnIr3Ru, relaxed
# - Space group: Pm-3m, No. 221
# - Total magnetic moment: 2.055 μB per cell
data_MnIr3Ru
_chemical_formula_sum 'Mn1 Ir3 Ru1'
_space_group_name_H-M_alt 'P 1'
_space_group_IT_number 1
_cell_length_a 4.4105
_cell_length_b 4.4105
_cell_length_c 4.4105
_cell_angle_alpha 90.00
_cell_angle_beta 90.00
_cell_angle_gamma 90.00
loop_
_space_group_symop_operation_xyz
'x,y,z'
loop_
_atom_site_label
_atom_site_fract_x
_atom_site_fract_y
_atom_site_fract_z
Mn1 0.0000 0.0000 0.0000
Ir1 0.0000 0.0000 0.5000
Ir2 0.0000 0.5000 0.0000
Ir3 0.5000 0.0000 0.0000
Ru1 0.5000 0.5000 0.5000



three | # PBE MnIr3Ru, relaxed
# - Space group: Pmma, No. 51
# - Total magnetic moment: 7.442 μB per cell
data_MnIr3Ru
_chemical_formula_sum 'Mn2 Ir6 Ru2'
_space_group_name_H-M_alt 'P 1'
_space_group_IT_number 1
_cell_length_a 8.7591
_cell_length_b 2.7072
_cell_length_c 6.6856
_cell_angle_alpha 90.00
_cell_angle_beta 90.00
_cell_angle_gamma 90.00
loop_
_space_group_symop_operation_xyz
'x,y,z'
loop_
_atom_site_label
_atom_site_fract_x
_atom_site_fract_y
_atom_site_fract_z
Mn1 0.2500 0.0000 0.2307
Mn2 0.7500 0.0000 0.7693
Ir1 0.0000 0.0000 0.5000
Ir2 0.0996 0.0000 0.8716
Ir3 0.4004 0.0000 0.8716
Ir4 0.5000 0.0000 0.5000
Ir5 0.5996 0.0000 0.1284
Ir6 0.9004 0.0000 0.1284
Ru1 0.2500 0.5000 0.5878
Ru2 0.7500 0.5000 0.4122



four | # PBE MnIr3Ru, relaxed
# - Space group: Pm-3m, No. 221
# - Total magnetic moment: 0.235 μB per cell
data_MnIr3Ru
_chemical_formula_sum 'Mn1 Ir3 Ru1'
_space_group_name_H-M_alt 'P 1'
_space_group_IT_number 1
_cell_length_a 4.6561
_cell_length_b 4.6561
_cell_length_c 4.6561
_cell_angle_alpha 90.00
_cell_angle_beta 90.00
_cell_angle_gamma 90.00
loop_
_space_group_symop_operation_xyz
'x,y,z'
loop_
_atom_site_label
_atom_site_fract_x
_atom_site_fract_y
_atom_site_fract_z
Mn1 0.0000 0.0000 0.0000
Ir1 0.0000 0.5000 0.5000
Ir2 0.5000 0.0000 0.5000
Ir3 0.5000 0.5000 0.0000
Ru1 0.5000 0.5000 0.5000



Most stable of them? one.



one | # PBE Mn2Ir2Ru, relaxed
# - Space group: P4/mbm, No. 127
# - Total magnetic moment: 0.000 μB per cell
data_Mn2Ir2Ru
_chemical_formula_sum 'Mn4 Ir4 Ru2'
_space_group_name_H-M_alt 'P 1'
_space_group_IT_number 1
_cell_length_a 7.0348
_cell_length_b 7.0348
_cell_length_c 2.6883
_cell_angle_alpha 90.00
_cell_angle_beta 90.00
_cell_angle_gamma 90.00
loop_
_space_group_symop_operation_xyz
'x,y,z'
loop_
_atom_site_label
_atom_site_fract_x
_atom_site_fract_y
_atom_site_fract_z
Mn1 0.1180 0.3820 0.0000
Mn2 0.3820 0.8820 0.0000
Mn3 0.6180 0.1180 0.0000
Mn4 0.8820 0.6180 0.0000
Ir1 0.1758 0.6758 0.5000
Ir2 0.3242 0.1758 0.5000
Ir3 0.6758 0.8242 0.5000
Ir4 0.8242 0.3242 0.5000
Ru1 0.0000 0.0000 0.0000
Ru2 0.5000 0.5000 0.0000



two | # PBE Mn2Ir2Ru, relaxed
# - Space group: P4/mbm, No. 127
# - Total magnetic moment: 0.001 μB per cell
data_Mn2Ir2Ru
_chemical_formula_sum 'Mn4 Ir4 Ru2'
_space_group_name_H-M_alt 'P 1'
_space_group_IT_number 1
_cell_length_a 7.1390
_cell_length_b 7.1390
_cell_length_c 2.6579
_cell_angle_alpha 90.00
_cell_angle_beta 90.00
_cell_angle_gamma 90.00
loop_
_space_group_symop_operation_xyz
'x,y,z'
loop_
_atom_site_label
_atom_site_fract_x
_atom_site_fract_y
_atom_site_fract_z
Mn1 0.1683 0.3317 0.0000
Mn2 0.3317 0.8317 0.0000
Mn3 0.6683 0.1683 0.0000
Mn4 0.8317 0.6683 0.0000
Ir1 0.1296 0.6296 0.5000
Ir2 0.3704 0.1296 0.5000
Ir3 0.6296 0.8704 0.5000
Ir4 0.8704 0.3704 0.5000
Ru1 0.0000 0.0000 0.5000
Ru2 0.5000 0.5000 0.5000



Most stable of them? one.



one | # PBE Mn3IrS, relaxed
# - Space group: Pm-3m, No. 221
# - Total magnetic moment: 0.000 μB per cell
data_Mn3IrS
_chemical_formula_sum 'Mn3 Ir1 S1'
_space_group_name_H-M_alt 'P 1'
_space_group_IT_number 1
_cell_length_a 4.0423
_cell_length_b 4.0423
_cell_length_c 4.0423
_cell_angle_alpha 90.00
_cell_angle_beta 90.00
_cell_angle_gamma 90.00
loop_
_space_group_symop_operation_xyz
'x,y,z'
loop_
_atom_site_label
_atom_site_fract_x
_atom_site_fract_y
_atom_site_fract_z
Mn1 0.0000 0.0000 0.5000
Mn2 0.0000 0.5000 0.0000
Mn3 0.5000 0.0000 0.0000
Ir1 0.5000 0.5000 0.5000
S1 0.0000 0.0000 0.0000



two | # PBE Mn3IrS, relaxed
# - Space group: Pm-3m, No. 221
# - Total magnetic moment: 13.451 μB per cell
data_Mn3IrS
_chemical_formula_sum 'Mn3 Ir1 S1'
_space_group_name_H-M_alt 'P 1'
_space_group_IT_number 1
_cell_length_a 4.8187
_cell_length_b 4.8187
_cell_length_c 4.8187
_cell_angle_alpha 90.00
_cell_angle_beta 90.00
_cell_angle_gamma 90.00
loop_
_space_group_symop_operation_xyz
'x,y,z'
loop_
_atom_site_label
_atom_site_fract_x
_atom_site_fract_y
_atom_site_fract_z
Mn1 0.0000 0.0000 0.5000
Mn2 0.0000 0.5000 0.0000
Mn3 0.5000 0.0000 0.0000
Ir1 0.0000 0.0000 0.0000
S1 0.5000 0.5000 0.5000



Most stable of them? one.



one | # PBE MnIr3S, relaxed
# - Space group: Pm-3m, No. 221
# - Total magnetic moment: 0.000 μB per cell
data_MnIr3S
_chemical_formula_sum 'Mn1 Ir3 S1'
_space_group_name_H-M_alt 'P 1'
_space_group_IT_number 1
_cell_length_a 4.4747
_cell_length_b 4.4747
_cell_length_c 4.4747
_cell_angle_alpha 90.00
_cell_angle_beta 90.00
_cell_angle_gamma 90.00
loop_
_space_group_symop_operation_xyz
'x,y,z'
loop_
_atom_site_label
_atom_site_fract_x
_atom_site_fract_y
_atom_site_fract_z
Mn1 0.0000 0.0000 0.0000
Ir1 0.0000 0.0000 0.5000
Ir2 0.0000 0.5000 0.0000
Ir3 0.5000 0.0000 0.0000
S1 0.5000 0.5000 0.5000



two | # PBE MnIr3S, relaxed
# - Space group: Pm-3m, No. 221
# - Total magnetic moment: 0.322 μB per cell
data_MnIr3S
_chemical_formula_sum 'Mn1 Ir3 S1'
_space_group_name_H-M_alt 'P 1'
_space_group_IT_number 1
_cell_length_a 4.3650
_cell_length_b 4.3650
_cell_length_c 4.3650
_cell_angle_alpha 90.00
_cell_angle_beta 90.00
_cell_angle_gamma 90.00
loop_
_space_group_symop_operation_xyz
'x,y,z'
loop_
_atom_site_label
_atom_site_fract_x
_atom_site_fract_y
_atom_site_fract_z
Mn1 0.0000 0.0000 0.0000
Ir1 0.0000 0.5000 0.5000
Ir2 0.5000 0.0000 0.5000
Ir3 0.5000 0.5000 0.0000
S1 0.5000 0.5000 0.5000



Most stable of them? two.